(1)
# CaCo2RuSe (GGA-PBE, relaxed)
# ΔE_f (raw) ... 0.408 eV/atom
# Calculated density ... 5.50 g/cm3
# Magnetization ... 3.65 μB per formula unit
data_CaCo2RuSe
_chemical_formula_sum 'Ca1 Co2 Ru1 Se1'
_cell_length_a 4.618
_cell_length_b 4.618
_cell_length_c 4.783
_cell_angle_alpha 90.00
_cell_angle_beta 90.00
_cell_angle_gamma 90.00
_symmetry_space_group_name_H-M 'P 4/m m m'
_symmetry_Int_Tables_number 123
_symmetry_space_group_name_Hall '-P 4 2'
loop_
_atom_site_label
_atom_site_fract_x
_atom_site_fract_y
_atom_site_fract_z
_atom_site_occupancy
Ca1 0.000 0.000 0.000 1
Co1 0.000 0.500 0.500 1
Ru1 0.500 0.500 0.500 1
Se1 0.500 0.500 0.000 1



(2)
# In3Te5I12 (GGA-PBE, relaxed)
# ΔE_f (raw) ... 0.067 eV/atom
# Calculated density ... 3.60 g/cm3
# Magnetization ... 0.00 μB per formula unit
data_In3Te5I12
_chemical_formula_sum 'In24 Te40 I96'
_cell_length_a 20.979
_cell_length_b 20.979
_cell_length_c 20.979
_cell_angle_alpha 90.00
_cell_angle_beta 90.00
_cell_angle_gamma 90.00
_symmetry_space_group_name_H-M 'I a -3 d'
_symmetry_Int_Tables_number 230
_symmetry_space_group_name_Hall '-I 4bd 2c 3'
loop_
_atom_site_label
_atom_site_fract_x
_atom_site_fract_y
_atom_site_fract_z
_atom_site_occupancy
In1 0.000 0.250 0.125 1
Te1 0.000 0.000 0.000 1
Te2 0.000 0.250 0.375 1
I1 0.027 0.143 0.969 1